1.
# BaSrCr2 PBE optimized geometry
# ΔE_f   0.61 eV per atom
# E above lowest polymorph   0.114 eV/atom
data_BaSrCr2
_chemical_formula_sum 'Ba2 Sr2 Cr4'
_space_group_name_H-M_alt 'I m m 2'
_space_group_IT_number 44
_cell_length_a 4.083
_cell_length_b 5.853
_cell_length_c 10.659
_cell_angle_alpha 90.00
_cell_angle_beta 90.00
_cell_angle_gamma 90.00
loop_
_space_group_symop_operation_xyz
'x,y,z'
'-x,-y,z'
'-x,y,z'
'x,-y,z'
'x+1/2,y+1/2,z+1/2'
'-x+1/2,-y+1/2,z+1/2'
'-x+1/2,y+1/2,z+1/2'
'x+1/2,-y+1/2,z+1/2'
loop_
_atom_site_label
_atom_site_fract_x
_atom_site_fract_y
_atom_site_fract_z
Ba1 0.000 0.000 0.000
Sr1 0.000 0.500 0.194
Cr1 0.000 0.000 0.402
Cr2 0.000 0.500 0.780

2.
# Nd2Dy3ThSe6 PBE optimized geometry
# Formation energy from raw total energies   -1.7385 eV/atom
data_Nd2Dy3ThSe6
_chemical_formula_sum 'Nd4 Dy6 Th2 Se12'
_space_group_name_H-M_alt 'C 1 2/m 1'
_space_group_IT_number 12
_cell_length_a 18.228
_cell_length_b 4.114
_cell_length_c 8.376
_cell_angle_alpha 90.00
_cell_angle_beta 105.13
_cell_angle_gamma 90.00
loop_
_space_group_symop_operation_xyz
'x,y,z'
'-x,-y,-z'
'-x,y,-z'
'x,-y,z'
'x+1/2,y+1/2,z'
'-x+1/2,-y+1/2,-z'
'-x+1/2,y+1/2,-z'
'x+1/2,-y+1/2,z'
loop_
_atom_site_label
_atom_site_fract_x
_atom_site_fract_y
_atom_site_fract_z
Nd1 0.164 0.000 0.328
Dy1 0.000 0.500 0.500
Dy2 0.167 0.000 0.834
Th1 0.000 0.500 0.000
Se1 0.004 0.000 0.742
Se2 0.165 0.500 0.591
Se3 0.170 0.500 0.074

3.
# Li2Ti3MnS8 PBE optimized geometry
# Formation energy from raw total energies   -1.1588 eV/atom
data_Li2Ti3MnS8
_chemical_formula_sum 'Li6 Ti9 Mn3 S24'
_space_group_name_H-M_alt 'R 3 m'
_space_group_IT_number 160
_space_group_name_Hall 'R 3 -2"'
_cell_length_a 7.1258
_cell_length_b 7.1258
_cell_length_c 18.2771
_cell_angle_alpha 90.00
_cell_angle_beta 90.00
_cell_angle_gamma 120.00
loop_
_atom_site_label
_atom_site_fract_x
_atom_site_fract_y
_atom_site_fract_z
Li1 0.0000 0.0000 0.0000
Li2 0.0000 0.0000 0.3679
Ti1 0.1705 0.3411 0.8253
Mn1 0.0000 0.0000 0.6127
S1 0.0000 0.0000 0.2357
S2 0.0000 0.0000 0.7487
S3 0.0136 0.5068 0.7554
S4 0.1784 0.3569 0.5721

4.
# CrPt8Rh6 PBE optimized geometry
# ΔE_f   0.20 eV per atom
data_CrPt8Rh6
_chemical_formula_sum 'Cr3 Pt24 Rh18'
_space_group_name_H-M_alt 'R -3'
_space_group_IT_number 148
_space_group_name_Hall '-R 3'
_cell_length_a 7.2432
_cell_length_b 7.2432
_cell_length_c 16.0174
_cell_angle_alpha 90.00
_cell_angle_beta 90.00
_cell_angle_gamma 120.00
loop_
_atom_site_label
_atom_site_fract_x
_atom_site_fract_y
_atom_site_fract_z
Cr1 0.0000 0.0000 0.0000
Pt1 0.0000 0.0000 0.2543
Pt2 0.0142 0.3029 0.1301
Rh1 0.0088 0.2932 0.6310

5.
# CrSiTeN2 PBE optimized geometry
# Formation energy from raw total energies   0.7241 eV/atom
# E above lowest polymorph   0.000 eV/atom
data_CrSiTeN2
_chemical_formula_sum 'Cr1 Si1 Te1 N2'
_space_group_name_H-M_alt 'P 4/m m m'
_space_group_IT_number 123
_space_group_name_Hall '-P 4 2'
_cell_length_a 3.570
_cell_length_b 3.570
_cell_length_c 6.904
_cell_angle_alpha 90.00
_cell_angle_beta 90.00
_cell_angle_gamma 90.00
loop_
_atom_site_label
_atom_site_fract_x
_atom_site_fract_y
_atom_site_fract_z
Cr1 0.000 0.000 0.000
Si1 0.500 0.500 0.500
Te1 0.500 0.500 0.000
N1 0.000 0.500 0.500

6.
# MgVCrIr2 PBE optimized geometry
# ΔE_f   1.19 eV per atom
data_MgVCrIr2
_chemical_formula_sum 'Mg1 V1 Cr1 Ir2'
_space_group_name_H-M_alt 'P 4/m m m'
_space_group_IT_number 123
_space_group_name_Hall '-P 4 2'
_cell_length_a 4.461
_cell_length_b 4.461
_cell_length_c 4.552
_cell_angle_alpha 90.00
_cell_angle_beta 90.00
_cell_angle_gamma 90.00
loop_
_atom_site_label
_atom_site_fract_x
_atom_site_fract_y
_atom_site_fract_z
Mg1 0.000 0.000 0.000
V1 0.500 0.500 0.000
Cr1 0.000 0.000 0.500
Ir1 0.000 0.500 0.500

7.
# Ta2W3 PBE optimized geometry
# ΔE_f   0.76 eV per atom
# E above lowest polymorph   0.858 eV/atom
data_Ta2W3
_chemical_formula_sum 'Ta2 W3'
_space_group_name_H-M_alt 'P -3 m 1'
_space_group_IT_number 164
_space_group_name_Hall '-P 3 2"'
_cell_length_a 4.4393
_cell_length_b 4.4393
_cell_length_c 5.5578
_cell_angle_alpha 90.00
_cell_angle_beta 90.00
_cell_angle_gamma 120.00
loop_
_atom_site_label
_atom_site_fract_x
_atom_site_fract_y
_atom_site_fract_z
Ta1 0.3333 0.6667 0.3364
W1 0.0000 0.0000 0.5000
W2 0.3333 0.6667 0.8534

8.
# Rb2TlSn2Br7 PBE optimized geometry
# Formation energy from raw total energies   -1.0874 eV/atom
data_Rb2TlSn2Br7
_chemical_formula_sum 'Rb4 Tl2 Sn4 Br14'
_space_group_name_H-M_alt 'C 1 2/m 1'
_space_group_IT_number 12
_cell_length_a 8.272
_cell_length_b 8.302
_cell_length_c 14.917
_cell_angle_alpha 90.00
_cell_angle_beta 105.03
_cell_angle_gamma 90.00
loop_
_space_group_symop_operation_xyz
'x,y,z'
'-x,-y,-z'
'-x,y,-z'
'x,-y,z'
'x+1/2,y+1/2,z'
'-x+1/2,-y+1/2,-z'
'-x+1/2,y+1/2,-z'
'x+1/2,-y+1/2,z'
loop_
_atom_site_label
_atom_site_fract_x
_atom_site_fract_y
_atom_site_fract_z
Rb1 0.223 0.000 0.357
Tl1 0.000 0.000 0.000
Sn1 0.123 0.500 0.205
Br1 0.000 0.500 0.000
Br2 0.115 0.237 0.804
Br3 0.188 0.500 0.406